Crystalline Ba2EuCrO6 at its relaxed geometry. Source: Alexandria, functional PBE with a Hubbard U.

Cell lengths 5.9460, 5.9460, 5.9460 Å; angles 60.00, 60.00, 60.00 degrees
Fractional positions:
Ba: 0.2500 0.2500 0.2500
Ba: 0.7500 0.7500 0.7500
Eu: 0.0000 0.0000 0.0000
Cr: 0.5000 0.5000 0.5000
O: 0.2732 0.2732 0.7268
O: 0.2732 0.7268 0.2732
O: 0.2732 0.7268 0.7268
O: 0.7268 0.2732 0.2732
O: 0.7268 0.2732 0.7268
O: 0.7268 0.7268 0.2732

## Properties
Total magnetic moment: 5.060 μB per formula unit
SG: Fm-3m
Final energy: -7.37 eV/atom